# YMoAsC2 GGA-PBE optimized geometry
# ρ: 4.94 g cm⁻³
# magnetization: 0.00 μB/atom
# energy relative to the elements: 2.43 eV per atom
# density of states at the Fermi level: 4.3 states/eV/cell
data_YMoAsC2
_chemical_formula_sum 'Y1 Mo1 As1 C2'
_space_group_name_H-M_alt 'P 4/m m m'
_space_group_IT_number 123
_space_group_name_Hall '-P 4 2'
_cell_length_a 4.225
_cell_length_b 4.225
_cell_length_c 5.347
_cell_angle_alpha 90.00
_cell_angle_beta 90.00
_cell_angle_gamma 90.00
loop_
_atom_site_label
_atom_site_type_symbol
_atom_site_fract_x
_atom_site_fract_y
_atom_site_fract_z
_atom_site_occupancy
Y1 Y 0.000 0.000 0.000 1
Mo1 Mo 0.500 0.500 0.500 1
As1 As 0.000 0.000 0.500 1
C1 C 0.000 0.500 0.000 1